CeScHgPb | PBE | relaxed

abc: 7.496 7.496 7.496
angles: 90.00 90.00 90.00
Space group F-43m (No. 216)
Unique sites:
Ce 0.000 0.000 0.000 x4
Sc 0.000 0.000 0.500 x4
Hg 0.250 0.250 0.750 x4
Pb 0.250 0.250 0.250 x4

Values from the calculation:
E = -4.4155 eV/atom
ΔH_f (0 K) = -134 kJ/mol of formula units

CeSmHgPb | PBE | relaxed

abc: 5.124 5.124 8.710
angles: 90.00 90.00 90.00
Space group I-4m2 (No. 119)
Unique sites:
Ce 0.000 0.000 0.000 x2
Sm 0.000 0.000 0.500 x2
Hg 0.000 0.500 0.250 x2
Pb 0.000 0.500 0.750 x2

Values from the calculation:
E = -4.0783 eV/atom
Energy relative to the lowest polymorph listed for this composition = 0 meV/atom
ΔH_f (0 K) = -159 kJ/mol of formula units

CeSmHgPb | PBE | relaxed

abc: 7.733 7.733 7.733
angles: 90.00 90.00 90.00
Space group F-43m (No. 216)
Unique sites:
Ce 0.000 0.000 0.000 x4
Sm 0.000 0.000 0.500 x4
Hg 0.250 0.250 0.750 x4
Pb 0.250 0.250 0.250 x4

Values from the calculation:
E = -4.0759 eV/atom
Energy relative to the lowest polymorph listed for this composition = 2 meV/atom
ΔH_f (0 K) = -158 kJ/mol of formula units

CeSm2Hg2Pb2 | PBE | relaxed

abc: 5.1355 5.1355 27.2702
angles: 90.00 90.00 120.00
Space group R-3m (No. 166, hexagonal axes)
Unique sites:
Ce 0.0000 0.0000 0.0000 x3
Sm 0.0000 0.0000 0.1303 x6
Hg 0.0000 0.0000 0.4336 x6
Pb 0.0000 0.0000 0.2723 x6

Values from the calculation:
E = -3.5596 eV/atom
ΔH_f (0 K) = -147 kJ/mol of formula units

SrCeHgPb | PBE | relaxed

abc: 3.850 3.850 8.429
angles: 90.00 90.00 90.00
Space group P4mm (No. 99)
Unique sites:
Sr 0.000 0.000 0.000 x1
Ce 0.000 0.000 0.519 x1
Hg 0.500 0.500 0.745 x1
Pb 0.500 0.500 0.270 x1

Values from the calculation:
E = -3.3246 eV/atom
Energy relative to the lowest polymorph listed for this composition = 0 meV/atom
ΔH_f (0 K) = -161 kJ/mol of formula units

SrCeHgPb | PBE | relaxed

abc: 7.965 7.965 7.965
angles: 90.00 90.00 90.00
Space group F-43m (No. 216)
Unique sites:
Sr 0.000 0.000 0.000 x4
Ce 0.000 0.000 0.500 x4
Hg 0.250 0.250 0.250 x4
Pb 0.250 0.250 0.750 x4

Values from the calculation:
E = -3.3197 eV/atom
Energy relative to the lowest polymorph listed for this composition = 5 meV/atom
ΔH_f (0 K) = -159 kJ/mol of formula units

CeTlHgPb | PBE | relaxed

abc: 4.681 4.756 4.965
angles: 90.00 90.00 90.00
Space group Pmmm (No. 47)
Unique sites:
Ce 0.000 0.000 0.000 x1
Tl 0.500 0.000 0.500 x1
Hg 0.000 0.500 0.500 x1
Pb 0.500 0.500 0.000 x1

Values from the calculation:
E = -3.3897 eV/atom
Energy relative to the lowest polymorph listed for this composition = 0 meV/atom
ΔH_f (0 K) = -120 kJ/mol of formula units

Ce3Tl3HgPb2 | PBE | relaxed

abc: 8.2568 8.2568 4.5517
angles: 90.00 90.00 120.00
Space group P-62m (No. 189)
Unique sites:
Ce 0.0000 0.3853 0.0000 x3
Tl 0.0000 0.7459 0.5000 x3
Hg 0.0000 0.0000 0.0000 x1
Pb 0.3333 0.6667 0.5000 x2

Values from the calculation:
E = -3.8441 eV/atom
ΔH_f (0 K) = -191 kJ/mol of formula units